AgAsWO5 after structural relaxation. Source: the Alexandria database, functional PBE+U.

abc: 7.1423 9.0565 7.6194
angles: 90.00 115.14 90.00
Space group C2/c (No. 15)
Inequivalent atoms, fractional coordinates:
1 Ag 0.0000 0.1751 0.2500
2 As 0.0000 0.1808 0.7500
3 W 0.0000 0.5000 0.0000
4 O 0.0000 0.4329 0.2500
5 O 0.1030 0.2886 0.6247
6 O 0.1842 0.0632 0.9079

Output
The calculation puts the final energy at -6.2221 eV/atom.